# 1
GdHfInHg | PBE-GGA | relaxed

a b c (Å): 5.1444 5.1444 5.1444
angles (deg): 60.00 60.00 60.00
Last column: magnetic moment on the atom in μB.
Sites, in units of the cell vectors:
Gd1 0.7500 0.7500 0.7500  7.04
Hf1 0.2500 0.2500 0.2500  0.03
Hg1 0.0000 0.0000 0.0000  -0.02
In1 0.5000 0.5000 0.5000  -0.03

Values from the calculation:
Total moment   7.17 Bohr magnetons per cell
Calculated total energy   -27.79 eV per formula unit
E_form   -0.179 eV/atom
Symmetry   No. 216

# 2
CsTaTi2 | PBE-GGA | relaxed

a b c (Å): 7.7746 7.7746 7.7528
angles (deg): 59.91 59.91 90.00
Sites, in units of the cell vectors:
Cs1 0.5000 0.5000 0.0000
Cs2 0.2500 0.7500 0.5000
Ti1 0.8754 0.1250 0.2500
Ti2 0.8746 0.6250 0.2500
Ti3 0.3750 0.1246 0.7500
Ti4 0.8750 0.1254 0.7500
Ta1 0.0000 0.0000 0.0000
Ta2 0.7500 0.2500 0.5000

Values from the calculation:
Total moment   0.00 Bohr magnetons per cell
Calculated total energy   -21.93 eV per formula unit
Energy above the most stable polymorph in this dataset   23.3 kJ/mol of atoms
E_form   1.641 eV/atom
Symmetry   No. 141

# 3
SrSb3I | PBE-GGA | relaxed

a b c (Å): 5.8098 5.8098 5.8098
angles (deg): 90.00 90.00 90.00
Sites, in units of the cell vectors:
I1 0.0000 0.0000 0.0000
Sb1 0.0000 0.5000 0.0000
Sb2 0.0000 0.0000 0.5000
Sb3 0.5000 0.0000 0.0000
Sr1 0.5000 0.5000 0.5000

Values from the calculation:
Total moment   0.00 Bohr magnetons per cell
Calculated total energy   -13.69 eV per formula unit
Energy above the most stable polymorph in this dataset   0.0 kJ/mol of atoms
Symmetry   No. 221
Formation energy (no corrections)   0.38 eV/atom

Please write out number 2 again, unchanged.
CsTaTi2 | PBE-GGA | relaxed

a b c (Å): 7.7746 7.7746 7.7528
angles (deg): 59.91 59.91 90.00
Sites, in units of the cell vectors:
Cs1 0.5000 0.5000 0.0000
Cs2 0.2500 0.7500 0.5000
Ti1 0.8754 0.1250 0.2500
Ti2 0.8746 0.6250 0.2500
Ti3 0.3750 0.1246 0.7500
Ti4 0.8750 0.1254 0.7500
Ta1 0.0000 0.0000 0.0000
Ta2 0.7500 0.2500 0.5000

Values from the calculation:
Total moment   0.00 Bohr magnetons per cell
Calculated total energy   -21.93 eV per formula unit
Energy above the most stable polymorph in this dataset   23.3 kJ/mol of atoms
E_form   1.641 eV/atom
Symmetry   No. 141

> What is the formula in the third record?

SrSb3I